Below is a geometry-optimized MnMo2Cl structure, with properties calculated at the PBE level.

## Properties
Uncorrected formation energy (meV/atom): 258.8

Unit cell a=2.829 b=2.858 c=7.580 alpha=90.00 beta=90.00 gamma=90.00
Fractional coordinates of all 4 atoms:
Mn 0.000 0.000 0.000
Mo 0.500 0.500 0.214
Mo 0.500 0.500 0.786
Cl 0.000 0.500 0.500